# 1
# Tc2WAu GGA-PBEsol relaxed
# Space group: I4/mmm
# E above lowest polymorph, meV/atom: 89.2
data_Tc2WAu
_chemical_formula_sum 'Tc2 W1 Au1'
_symmetry_space_group_name_H-M 'P 1'
_symmetry_Int_Tables_number 1
_cell_length_a 3.956
_cell_length_b 3.956
_cell_length_c 4.728
_cell_angle_alpha 114.73
_cell_angle_beta 114.73
_cell_angle_gamma 90.00
loop_
_symmetry_equiv_pos_as_xyz
'x,y,z'
loop_
_atom_site_label
_atom_site_fract_x
_atom_site_fract_y
_atom_site_fract_z
Tc1 0.250 0.750 0.500
Tc2 0.750 0.250 0.500
Au1 0.000 0.000 0.000
W1 0.500 0.500 0.000

=====

# 2
# Tc2WAu GGA-PBEsol relaxed
# Space group: R3m
# E above lowest polymorph, meV/atom: 62.6
data_Tc2WAu
_chemical_formula_sum 'Tc2 W1 Au1'
_symmetry_space_group_name_H-M 'P 1'
_symmetry_Int_Tables_number 1
_cell_length_a 2.757
_cell_length_b 2.757
_cell_length_c 9.342
_cell_angle_alpha 81.51
_cell_angle_beta 81.51
_cell_angle_gamma 60.00
loop_
_symmetry_equiv_pos_as_xyz
'x,y,z'
loop_
_atom_site_label
_atom_site_fract_x
_atom_site_fract_y
_atom_site_fract_z
Tc1 0.005 0.005 0.984
Tc2 0.747 0.747 0.760
Au1 0.251 0.251 0.247
W1 0.497 0.497 0.509

=====

# 3
# YTc2Au GGA-PBEsol relaxed
# Space group: P4/mmm
data_YTc2Au
_chemical_formula_sum 'Y1 Tc2 Au1'
_symmetry_space_group_name_H-M 'P 1'
_symmetry_Int_Tables_number 1
_cell_length_a 2.774
_cell_length_b 2.774
_cell_length_c 8.859
_cell_angle_alpha 90.00
_cell_angle_beta 90.00
_cell_angle_gamma 90.00
loop_
_symmetry_equiv_pos_as_xyz
'x,y,z'
loop_
_atom_site_label
_atom_site_fract_x
_atom_site_fract_y
_atom_site_fract_z
Y1 0.500 0.500 0.000
Au1 0.500 0.500 0.500
Tc1 0.000 0.000 0.270
Tc2 0.000 0.000 0.730

=====

# 4
# YTcAu GGA-PBEsol relaxed
# Space group: F-43m
# E above lowest polymorph, meV/atom: 472.5
data_YTcAu
_chemical_formula_sum 'Y1 Tc1 Au1'
_symmetry_space_group_name_H-M 'P 1'
_symmetry_Int_Tables_number 1
_cell_length_a 4.524
_cell_length_b 4.524
_cell_length_c 4.524
_cell_angle_alpha 60.00
_cell_angle_beta 60.00
_cell_angle_gamma 60.00
loop_
_symmetry_equiv_pos_as_xyz
'x,y,z'
loop_
_atom_site_label
_atom_site_fract_x
_atom_site_fract_y
_atom_site_fract_z
Y1 0.000 0.000 0.000
Tc1 0.750 0.750 0.750
Au1 0.500 0.500 0.500

=====

# 5
# YTcAu GGA-PBEsol relaxed
# Space group: P-6m2
# E above lowest polymorph, meV/atom: 0.0
data_YTcAu
_chemical_formula_sum 'Y1 Tc1 Au1'
_symmetry_space_group_name_H-M 'P 1'
_symmetry_Int_Tables_number 1
_cell_length_a 3.517
_cell_length_b 4.435
_cell_length_c 4.435
_cell_angle_alpha 120.00
_cell_angle_beta 90.00
_cell_angle_gamma 90.00
loop_
_symmetry_equiv_pos_as_xyz
'x,y,z'
loop_
_atom_site_label
_atom_site_fract_x
_atom_site_fract_y
_atom_site_fract_z
Au1 0.000 0.000 0.000
Y1 0.500 0.333 0.667
Tc1 0.000 0.667 0.333

=====

# 6
# ZnTcAu2 GGA-PBEsol relaxed
# Space group: Imm2
data_ZnTcAu2
_chemical_formula_sum 'Zn1 Tc1 Au2'
_symmetry_space_group_name_H-M 'P 1'
_symmetry_Int_Tables_number 1
_cell_length_a 2.696
_cell_length_b 4.813
_cell_length_c 5.511
_cell_angle_alpha 115.89
_cell_angle_beta 104.16
_cell_angle_gamma 90.00
loop_
_symmetry_equiv_pos_as_xyz
'x,y,z'
loop_
_atom_site_label
_atom_site_fract_x
_atom_site_fract_y
_atom_site_fract_z
Au1 0.988 0.988 0.976
Au2 0.754 0.254 0.507
Zn1 0.248 0.748 0.496
Tc1 0.510 0.510 0.021

=====

Asked for total energy across the records above, the calculation gives -9.84; -9.86; -7.84; -6.87; -7.34; -4.98 eV/atom in order.
Asked for energy of formation across the records above, the calculation gives 230; 203; 484; 467; -5; 198 meV/atom in order.